Record 1
Here is a relaxed structure of ZnTcNi2 from Alexandria via LeMat-Bulk. Energies are from PBEsol.

energy of formation from the pure elements: -0.03 eV/atom

Unit cell a=2.5778 b=2.5778 c=7.1578 alpha=90.00 beta=90.00 gamma=90.00
Positions (direct):
Ni 0.0000 0.0000 0.0085
Ni 0.5000 0.5000 0.2395
Zn 0.5000 0.5000 0.7692
Tc 0.0000 0.0000 0.4828


Record 2
Here is a relaxed structure of Mg5Cu4 from Alexandria via LeMat-Bulk. Energies are from PBEsol.

energy of formation from the pure elements: 0.00 eV/atom

Unit cell a=5.4564 b=7.7730 c=7.7730 alpha=120.00 beta=90.00 gamma=90.00
Positions (direct):
Cu 0.5000 0.0000 0.0000
Cu 0.2500 0.6280 0.0000
Cu 0.2500 0.3720 0.3720
Cu 0.0000 0.0000 0.0000
Cu 0.7500 0.3720 0.0000
Cu 0.7500 0.0000 0.3720
Cu 0.7500 0.6280 0.6280
Cu 0.2500 0.0000 0.6280
Mg 0.2500 0.2898 0.0000
Mg 0.2500 0.0000 0.2898
Mg 0.7500 0.0000 0.7102
Mg 0.2500 0.7102 0.7102
Mg 0.5000 0.6667 0.3333
Mg 0.7500 0.7102 0.0000
Mg 0.0000 0.6667 0.3333
Mg 0.0000 0.3333 0.6667
Mg 0.7500 0.2898 0.2898
Mg 0.5000 0.3333 0.6667


Record 3
Here is a relaxed structure of KTaTe from Alexandria via LeMat-Bulk. Energies are from PBEsol.

raw formation energy: 1156 meV/atom

Unit cell a=4.9888 b=4.9888 c=4.9888 alpha=60.00 beta=60.00 gamma=60.00
Positions (direct):
Te 0.0000 0.0000 0.0000
K 0.5000 0.5000 0.5000
Ta 0.2500 0.2500 0.2500


Record 4
Here is a relaxed structure of Mg2IrPd from Alexandria via LeMat-Bulk. Energies are from PBEsol.

energy of formation from the pure elements: -0.46 eV/atom

Unit cell a=4.3918 b=4.3918 c=4.3918 alpha=60.00 beta=60.00 gamma=60.00
Positions (direct):
Pd 0.0000 0.0000 0.0000
Ir 0.5000 0.5000 0.5000
Mg 0.2500 0.2500 0.2500
Mg 0.7500 0.7500 0.7500


Record 5
Here is a relaxed structure of Sc2TaAu from Alexandria via LeMat-Bulk. Energies are from PBEsol.

energy of formation from the pure elements: -0.15 eV/atom

Unit cell a=3.0147 b=3.0147 c=8.6637 alpha=90.00 beta=90.00 gamma=90.00
Positions (direct):
Ta 0.0000 0.0000 0.5156
Sc 0.0000 0.0000 0.9691
Sc 0.5000 0.5000 0.2755
Au 0.5000 0.5000 0.7398


Record 6
Here is a relaxed structure of MnH2Cl2O from Alexandria via LeMat-Bulk. Energies are from PBEsol.

electronic total energy: -5.289 eV per atom

Unit cell a=3.6478 b=8.8320 c=11.3361 alpha=90.00 beta=90.00 gamma=90.00
Positions (direct):
Cl 0.2500 0.6924 0.1012
Cl 0.2500 0.1924 0.3988
Cl 0.7500 0.0386 0.1243
Cl 0.2500 0.9614 0.8757
Cl 0.7500 0.3076 0.8988
Cl 0.7500 0.8076 0.6012
Cl 0.2500 0.4614 0.6243
Cl 0.7500 0.5386 0.3757
H 0.7500 0.6854 0.7673
H 0.7500 0.1854 0.7327
H 0.2500 0.9550 0.3593
H 0.2500 0.4550 0.1407
H 0.7500 0.5450 0.8593
H 0.2500 0.3146 0.2327
H 0.2500 0.8146 0.2673
H 0.7500 0.0450 0.6407
O 0.7500 0.1567 0.6482
O 0.2500 0.8433 0.3518
O 0.7500 0.6567 0.8518
O 0.2500 0.3433 0.1482
Mn 0.7500 0.3162 0.5144
Mn 0.2500 0.1838 0.0144
Mn 0.7500 0.8162 0.9856
Mn 0.2500 0.6838 0.4856


Record 7
Here is a relaxed structure of Fe2Rh from Alexandria via LeMat-Bulk. Energies are from PBEsol.

energy of formation from the pure elements: 0.67 eV/atom

Unit cell a=4.0057 b=4.0057 c=4.0057 alpha=60.00 beta=60.00 gamma=60.00
Positions (direct):
Fe 0.2500 0.2500 0.2500
Fe 0.7500 0.7500 0.7500
Rh 0.0000 0.0000 0.0000


Record 8
Here is a relaxed structure of Be4ZnRu from Alexandria via LeMat-Bulk. Energies are from PBEsol.

energy of formation from the pure elements: -0.18 eV/atom

Unit cell a=4.3026 b=4.3026 c=4.3026 alpha=60.00 beta=60.00 gamma=60.00
Positions (direct):
Zn 0.0000 0.0000 0.0000
Be 0.8703 0.3766 0.3766
Be 0.3766 0.3766 0.8703
Be 0.3766 0.3766 0.3766
Be 0.3766 0.8703 0.3766
Ru 0.7500 0.7500 0.7500


Record 9
Here is a relaxed structure of NaReSi2Ge from Alexandria via LeMat-Bulk. Energies are from PBEsol.

raw formation energy: 312 meV/atom

Unit cell a=4.7081 b=4.7081 c=4.8469 alpha=90.00 beta=90.00 gamma=90.00
Positions (direct):
Si 0.0000 0.5000 0.0000
Si 0.5000 0.0000 0.0000
Na 0.5000 0.5000 0.5000
Ge 0.0000 0.0000 0.5000
Re 0.0000 0.0000 0.0000


Record 10
Here is a relaxed structure of CsAlHg3 from Alexandria via LeMat-Bulk. Energies are from PBEsol.

energy of formation from the pure elements: -0.12 eV/atom

Unit cell a=5.3352 b=5.3352 c=5.3352 alpha=90.00 beta=90.00 gamma=90.00
Positions (direct):
Hg 0.0000 0.5000 0.0000
Hg 0.0000 0.0000 0.5000
Hg 0.5000 0.0000 0.0000
Al 0.0000 0.0000 0.0000
Cs 0.5000 0.5000 0.5000


Record 11
Here is a relaxed structure of SrAgRu2 from Alexandria via LeMat-Bulk. Energies are from PBEsol.

energy of formation from the pure elements: 0.43 eV/atom
excess energy over the best structure of this formula in the dataset: 0 meV per atom

Unit cell a=3.1236 b=3.1236 c=7.6671 alpha=90.00 beta=90.00 gamma=90.00
Positions (direct):
Ru 0.0000 0.0000 0.0303
Ru 0.5000 0.5000 0.1850
Sr 0.0000 0.0000 0.4864
Ag 0.5000 0.5000 0.7983


Record 12
Here is a relaxed structure of Na3CdGe from Alexandria via LeMat-Bulk. Energies are from PBEsol.

energy of formation from the pure elements: 0.26 eV/atom

Unit cell a=5.5589 b=5.5589 c=5.5589 alpha=90.00 beta=90.00 gamma=90.00
Positions (direct):
Na 0.0000 0.5000 0.0000
Na 0.5000 0.0000 0.0000
Na 0.0000 0.0000 0.5000
Ge 0.0000 0.0000 0.0000
Cd 0.5000 0.5000 0.5000


Record 13
Here is a relaxed structure of SrHgBr4 from Alexandria via LeMat-Bulk. Energies are from PBEsol.

raw formation energy: -502 meV/atom

Unit cell a=6.2938 b=6.2938 c=6.2938 alpha=60.00 beta=60.00 gamma=60.00
Positions (direct):
Sr 0.0000 0.0000 0.0000
Hg 0.7500 0.7500 0.7500
Br 0.3748 0.3748 0.8755
Br 0.8755 0.3748 0.3748
Br 0.3748 0.8755 0.3748
Br 0.3748 0.3748 0.3748


Record 14
Here is a relaxed structure of Re2Au from Alexandria via LeMat-Bulk. Energies are from PBEsol.

energy of formation from the pure elements: 0.31 eV/atom
excess energy over the best structure of this formula in the dataset: 0 meV per atom

Unit cell a=2.7588 b=3.9552 c=4.8074 alpha=114.29 beta=106.67 gamma=90.00
Positions (direct):
Re 0.6731 0.6731 0.3462
Re 0.3269 0.3269 0.6538
Au 0.0000 0.0000 0.0000


Record 15
Here is a relaxed structure of AlIn3 from Alexandria via LeMat-Bulk. Energies are from PBEsol.

energy of formation from the pure elements: 0.13 eV/atom

Unit cell a=3.6362 b=5.0888 c=5.0888 alpha=90.00 beta=90.00 gamma=90.00
Positions (direct):
Al 0.0000 0.0000 0.0000
In 0.0000 0.5000 0.5000
In 0.5000 0.5000 0.0000
In 0.5000 0.0000 0.5000


Record 16
Here is a relaxed structure of MgGa2AgHg from Alexandria via LeMat-Bulk. Energies are from PBEsol.

energy of formation from the pure elements: 0.19 eV/atom

Unit cell a=4.8355 b=4.8355 c=5.1481 alpha=90.00 beta=90.00 gamma=90.00
Positions (direct):
Hg 0.5000 0.5000 0.5000
Ga 0.0000 0.5000 0.0000
Ga 0.5000 0.0000 0.0000
Ag 0.0000 0.0000 0.0000
Mg 0.0000 0.0000 0.5000


Record 17
Here is a relaxed structure of FeTeH2 from Alexandria via LeMat-Bulk. Energies are from PBEsol.

electronic total energy: -3.841 eV per atom

Unit cell a=3.9023 b=3.9023 c=3.9023 alpha=60.00 beta=60.00 gamma=60.00
Positions (direct):
Fe 0.0000 0.0000 0.0000
H 0.2500 0.2500 0.2500
H 0.7500 0.7500 0.7500
Te 0.5000 0.5000 0.5000


Record 18
Here is a relaxed structure of TaTl2W from Alexandria via LeMat-Bulk. Energies are from PBEsol.

energy of formation from the pure elements: 0.96 eV/atom
excess energy over the best structure of this formula in the dataset: 462 meV per atom

Unit cell a=2.9240 b=2.9240 c=8.9954 alpha=90.00 beta=90.00 gamma=90.00
Positions (direct):
Tl 0.0000 0.0000 0.7539
Tl 0.0000 0.0000 0.2461
W 0.5000 0.5000 0.0000
Ta 0.5000 0.5000 0.5000


Record 19
Here is a relaxed structure of Pt2PbW from Alexandria via LeMat-Bulk. Energies are from PBEsol.

energy of formation from the pure elements: 0.29 eV/atom

Unit cell a=3.1968 b=3.1968 c=6.9517 alpha=90.00 beta=90.00 gamma=90.00
Positions (direct):
Pt 0.5000 0.5000 0.2608
Pt 0.0000 0.0000 0.0310
Pb 0.5000 0.5000 0.7609
W 0.0000 0.0000 0.4472


Record 20
Here is a relaxed structure of HfSnPd2W from Alexandria via LeMat-Bulk. Energies are from PBEsol.

energy of formation from the pure elements: 1.56 eV/atom

Unit cell a=4.6640 b=4.6640 c=5.1627 alpha=90.00 beta=90.00 gamma=90.00
Positions (direct):
Pd 0.0000 0.5000 0.0000
Pd 0.5000 0.0000 0.0000
Sn 0.0000 0.0000 0.0000
Hf 0.0000 0.0000 0.5000
W 0.5000 0.5000 0.5000